# UTlV2O8 | the Alexandria database | PBE+U | optimized geometry
data_UTlV2O8
_chemical_formula_sum 'U1 Tl1 V2 O8'
_cell_length_a 5.8927
_cell_length_b 5.8927
_cell_length_c 7.8244
_cell_angle_alpha 90.00
_cell_angle_beta 90.00
_cell_angle_gamma 120.00
_symmetry_space_group_name_H-M 'P -3 m 1'
_symmetry_Int_Tables_number 164
_symmetry_space_group_name_Hall '-P 3 2"'
loop_
_atom_site_label
_atom_site_fract_x
_atom_site_fract_y
_atom_site_fract_z
_atom_site_occupancy
U1 0.0000 0.0000 0.0000 1
Tl1 0.0000 0.0000 0.5000 1
V1 0.3333 0.6667 0.7617 1
O1 0.1684 0.3367 0.8361 1
O2 0.3333 0.6667 0.5514 1
# calculated total energy: -0.57760 Ry per atom
# mass density: 4.745 g/cm³
# size of the total moment: 1.00 Bohr magnetons per cell
# crystal system: trigonal
# Fermi-level density of states: 0.115 states/eV/atom
# V: 235.3 Å³/cell